Record 1
## HoScRuO6 (PBE)

Data for crystalline HoScRuO6 at its relaxed geometry.

Crystal system: trigonal
Calculated density, Mg/m³: 5.84
Uncorrected energy, eV/atom: -7.837
Energy relative to the elements, uncorrected, eV/atom: -2.288
Volume, Å³ per atom: 12.854

Structure (CIF):
```
data_HoScRuO6
_cell_length_a 5.2657
_cell_length_b 5.2657
_cell_length_c 9.6352
_cell_angle_alpha 90.00
_cell_angle_beta 90.00
_cell_angle_gamma 120.00
_symmetry_space_group_name_H-M 'P -3 1 c'
_symmetry_Int_Tables_number 163
_symmetry_space_group_name_Hall '-P 3 2c'
loop_
_atom_site_label
_atom_site_type_symbol
_atom_site_fract_x
_atom_site_fract_y
_atom_site_fract_z
Ho1 Ho 0.0000 0.0000 0.0000
Sc1 Sc 0.3333 0.6667 0.2500
Ru1 Ru 0.3333 0.6667 0.7500
O1 O 0.0236 0.3646 0.6371
```

Record 2
## SmHo2RuO8 (PBE)

Data for crystalline SmHo2RuO8 at its relaxed geometry.

Crystal system: monoclinic
Calculated density, Mg/m³: 6.80
Uncorrected energy, eV/atom: -7.617
Energy relative to the elements, uncorrected, eV/atom: -2.382
Volume, Å³ per atom: 14.442

Structure (CIF):
```
data_SmHo2RuO8
_cell_length_a 5.0417
_cell_length_b 6.8033
_cell_length_c 5.0525
_cell_angle_alpha 90.00
_cell_angle_beta 90.06
_cell_angle_gamma 90.00
_symmetry_space_group_name_H-M 'P 1 2/m 1'
_symmetry_Int_Tables_number 10
_symmetry_space_group_name_Hall '-P 2y'
loop_
_atom_site_label
_atom_site_type_symbol
_atom_site_fract_x
_atom_site_fract_y
_atom_site_fract_z
Sm1 Sm 0.0000 0.0000 0.0000
Ho1 Ho 0.5000 0.2492 0.5000
Ru1 Ru 0.0000 0.5000 0.0000
O1 O 0.1864 0.2938 0.1850
O2 O 0.2663 0.5000 0.7329
O3 O 0.3127 0.0000 0.6854
```

Record 3
## SrHoRuO6 (PBE)

Data for crystalline SrHoRuO6 at its relaxed geometry.

Crystal system: trigonal
Calculated density, Mg/m³: 5.38
Uncorrected energy, eV/atom: -7.000
Energy relative to the elements, uncorrected, eV/atom: -1.968
Volume, Å³ per atom: 15.428

Structure (CIF):
```
data_SrHoRuO6
_cell_length_a 5.5462
_cell_length_b 5.5462
_cell_length_c 10.4250
_cell_angle_alpha 90.00
_cell_angle_beta 90.00
_cell_angle_gamma 120.00
_symmetry_space_group_name_H-M 'P -3 1 c'
_symmetry_Int_Tables_number 163
_symmetry_space_group_name_Hall '-P 3 2c'
loop_
_atom_site_label
_atom_site_type_symbol
_atom_site_fract_x
_atom_site_fract_y
_atom_site_fract_z
Sr1 Sr 0.0000 0.0000 0.0000
Ho1 Ho 0.3333 0.6667 0.2500
Ru1 Ru 0.3333 0.6667 0.7500
O1 O 0.0430 0.3887 0.6456
```

Record 4
## Sr2HoRu3O12 (PBE)

Data for crystalline Sr2HoRu3O12 at its relaxed geometry.

Crystal system: trigonal
Calculated density, Mg/m³: 5.82
Uncorrected energy, eV/atom: -6.893
Energy relative to the elements, uncorrected, eV/atom: -1.601
Volume, Å³ per atom: 13.242

Structure (CIF):
```
data_Sr2HoRu3O12
_cell_length_a 7.3126
_cell_length_b 7.3126
_cell_length_c 15.4406
_cell_angle_alpha 90.00
_cell_angle_beta 90.00
_cell_angle_gamma 120.00
_symmetry_space_group_name_H-M 'R -3 m'
_symmetry_Int_Tables_number 166
_symmetry_space_group_name_Hall '-R 3 2"'
loop_
_atom_site_label
_atom_site_type_symbol
_atom_site_fract_x
_atom_site_fract_y
_atom_site_fract_z
Sr1 Sr 0.0000 0.0000 0.1136
Ho1 Ho 0.0000 0.0000 0.5000
Ru1 Ru 0.0000 0.5000 0.0000
O1 O 0.0355 0.5177 0.8788
O2 O 0.0695 0.5347 0.3145
```